A relaxed Rb2VOsF6 crystal, computed with PBE with a Hubbard U.

Cell lengths 6.032, 6.032, 6.032 Å; angles 119.94, 119.94, 90.10 degrees
Element x y z (fractional)
Rb  0.250  0.750  0.500
Rb  0.750  0.250  0.500
V  0.000  0.000  0.000
Os  0.500  0.500  0.000
F  0.250  0.250  0.000
F  0.250  0.250  0.499
F  0.250  0.750  0.000
F  0.750  0.250  0.000
F  0.750  0.750  0.000
F  0.750  0.750  0.501

VASP energy (eV per atom): -4.9265
Symmetry: I4/mmm (139)